# Sm3MgPd12, optimized geometry, DFT GGA-PBE
# energy: -5.5943 eV per atom
# DOS at the Fermi energy: 14.52 states/eV/f.u.
# density: 10374 kg/m3
data_Sm3MgPd12
_chemical_formula_sum 'Sm3 Mg1 Pd12'
_symmetry_space_group_name_H-M 'P 4/m m m'
_symmetry_Int_Tables_number 123
_symmetry_space_group_name_Hall '-P 4 2'
_cell_length_a 4.136
_cell_length_b 4.136
_cell_length_c 16.398
_cell_angle_alpha 90.00
_cell_angle_beta 90.00
_cell_angle_gamma 90.00
loop_
_atom_site_label
_atom_site_type_symbol
_atom_site_fract_x
_atom_site_fract_y
_atom_site_fract_z
Sm1 Sm 0.000 0.000 0.000
Sm2 Sm 0.000 0.000 0.258
Mg1 Mg 0.000 0.000 0.500
Pd1 Pd 0.000 0.500 0.128
Pd2 Pd 0.000 0.500 0.386
Pd3 Pd 0.500 0.500 0.000
Pd4 Pd 0.500 0.500 0.256
Pd5 Pd 0.500 0.500 0.500



# Pu4V, optimized geometry, DFT GGA-PBE
# energy: -12.5574 eV per atom
# DOS at the Fermi energy: 36.94 states/eV/f.u.
# density: 12881 kg/m3
data_Pu4V
_chemical_formula_sum 'Pu4 V1'
_symmetry_space_group_name_H-M 'P m -3 m'
_symmetry_Int_Tables_number 221
_symmetry_space_group_name_Hall '-P 4 2 3'
_cell_length_a 5.097
_cell_length_b 5.097
_cell_length_c 5.097
_cell_angle_alpha 90.00
_cell_angle_beta 90.00
_cell_angle_gamma 90.00
loop_
_atom_site_label
_atom_site_type_symbol
_atom_site_fract_x
_atom_site_fract_y
_atom_site_fract_z
Pu1 Pu 0.000 0.000 0.000
Pu2 Pu 0.000 0.500 0.500
V1 V 0.500 0.500 0.500



Question: Which value of density does entry 1 give?
Answer: 10374 kg/m3